Record 1
## LaSb2OsRh (PBE)

Data for crystalline LaSb2OsRh at its relaxed geometry.

* formation energy without anion corrections: 0.20 eV/atom
* size of the total moment: 0.0 μB/cell
* DOS at the Fermi energy: 4.9 states/eV per cell

a = 5.137 Å, b = 5.137 Å, c = 4.895 Å
α = 90.00°, β = 90.00°, γ = 90.00°
Space group P4/mmm (No. 123)
Unique sites:
La1 0.000 0.000 0.000 [1 per cell]
Sb1 0.000 0.500 0.500 [2 per cell]
Os1 0.500 0.500 0.500 [1 per cell]
Rh1 0.500 0.500 0.000 [1 per cell]

---

Record 2
## AlCdP2O8 (PBE)

Data for crystalline AlCdP2O8 at its relaxed geometry.

* formation energy without anion corrections: -1.84 eV/atom
* size of the total moment: 2.1 μB/cell
* DOS at the Fermi energy: 18.6 states/eV per cell

a = 6.699 Å, b = 6.699 Å, c = 5.811 Å
α = 90.00°, β = 90.00°, γ = 90.00°
Space group I-4m2 (No. 119)
Unique sites:
Al1 0.000 0.000 0.000 [2 per cell]
Cd1 0.000 0.500 0.250 [2 per cell]
P1 0.000 0.000 0.500 [2 per cell]
P2 0.000 0.500 0.750 [2 per cell]
O1 0.000 0.170 0.319 [8 per cell]
O2 0.000 0.310 0.905 [8 per cell]

---

Record 3
## BaAc3Ag4 (PBE)

Data for crystalline BaAc3Ag4 at its relaxed geometry.

* E_tot: -3.44 eV/atom
* size of the total moment: 0.0 μB/cell
* DOS at the Fermi energy: 11.4 states/eV per cell

a = 11.337 Å, b = 7.955 Å, c = 5.667 Å
α = 90.00°, β = 90.00°, γ = 90.00°
Space group Pmma (No. 51)
Unique sites:
Ba1 0.000 0.000 0.000 [2 per cell]
Ac1 0.000 0.500 0.000 [2 per cell]
Ac2 0.250 0.000 0.499 [2 per cell]
Ac3 0.250 0.500 0.499 [2 per cell]
Ag1 0.000 0.263 0.500 [4 per cell]
Ag2 0.250 0.263 0.999 [4 per cell]

---

Record 4
## CuNi2Mo (PBE)

Data for crystalline CuNi2Mo at its relaxed geometry.

* excess energy over the best structure of this formula in the dataset: 0.1185 eV/atom
* size of the total moment: 0.0 μB/cell
* DOS at the Fermi energy: 8.1 states/eV per cell

a = 3.621 Å, b = 3.621 Å, c = 7.507 Å
α = 90.00°, β = 90.00°, γ = 90.00°
Space group I-4m2 (No. 119)
Unique sites:
Cu1 0.000 0.000 0.000 [2 per cell]
Ni1 0.000 0.000 0.500 [2 per cell]
Ni2 0.000 0.500 0.250 [2 per cell]
Mo1 0.000 0.500 0.750 [2 per cell]

---

Record 5
## Tb2Er2Mg15 (PBE)

Data for crystalline Tb2Er2Mg15 at its relaxed geometry.

* E_tot: -2.20 eV/atom
* size of the total moment: 0.0 μB/cell
* DOS at the Fermi energy: 41.5 states/eV per cell

a = 10.4437 Å, b = 10.4437 Å, c = 15.2911 Å
α = 90.00°, β = 90.00°, γ = 120.00°
Space group R-3m (No. 166, hexagonal axes)
Unique sites:
Tb1 0.0000 0.0000 0.1717 [6 per cell]
Er1 0.0000 0.0000 0.3995 [6 per cell]
Mg1 0.0000 0.2986 0.5000 [18 per cell]
Mg2 0.0000 0.5000 0.0000 [9 per cell]
Mg3 0.0094 0.5047 0.6468 [18 per cell]

---

Record 6
## KAl2CdBr8 (PBE)

Data for crystalline KAl2CdBr8 at its relaxed geometry.

* formation energy without anion corrections: -1.09 eV/atom
* size of the total moment: 3.1 μB/cell
* DOS at the Fermi energy: 9.9 states/eV per cell

a = 7.0274 Å, b = 7.0274 Å, c = 30.2012 Å
α = 90.00°, β = 90.00°, γ = 120.00°
Space group R-3 (No. 148, hexagonal axes)
Unique sites:
K1 0.0000 0.0000 0.0000 [3 per cell]
Al1 0.0000 0.0000 0.2542 [6 per cell]
Cd1 0.0000 0.0000 0.5000 [3 per cell]
Br1 0.0000 0.0000 0.3309 [6 per cell]
Br2 0.0032 0.3691 0.4372 [18 per cell]

---

Record 7
## YCo2HgP (PBE)

Data for crystalline YCo2HgP at its relaxed geometry.

* E_tot: -3.61 eV/atom
* size of the total moment: 2.3 μB/cell
* DOS at the Fermi energy: 6.6 states/eV per cell

a = 4.718 Å, b = 4.718 Å, c = 5.605 Å
α = 90.00°, β = 90.00°, γ = 90.00°
Space group P4/mmm (No. 123)
Unique sites:
Y1 0.000 0.000 0.000 [1 per cell]
Co1 0.000 0.500 0.000 [2 per cell]
Hg1 0.000 0.000 0.500 [1 per cell]
P1 0.500 0.500 0.500 [1 per cell]

---

Record 8
## Ac2SnS (PBE)

Data for crystalline Ac2SnS at its relaxed geometry.

* formation energy without anion corrections: -0.83 eV/atom
* excess energy over the best structure of this formula in the dataset: 0.4616 eV/atom
* size of the total moment: 0.0 μB/cell

a = 5.1176 Å, b = 5.1176 Å, c = 26.5430 Å
α = 90.00°, β = 90.00°, γ = 120.00°
Space group R-3m (No. 166, hexagonal axes)
Unique sites:
Ac1 0.0000 0.0000 0.1025 [6 per cell]
Sn1 0.0000 0.0000 0.5000 [3 per cell]
S1 0.0000 0.0000 0.0000 [3 per cell]

---

Record 9
## LiTbPb2S4 (PBE)

Data for crystalline LiTbPb2S4 at its relaxed geometry.

* formation energy without anion corrections: -1.14 eV/atom
* size of the total moment: 0.0 μB/cell

a = 6.940 Å, b = 4.070 Å, c = 7.145 Å
α = 90.00°, β = 108.59°, γ = 90.00°
Space group P2/m (No. 10)
Unique sites:
Li1 0.000 0.000 0.000 [1 per cell]
Tb1 0.500 0.500 0.000 [1 per cell]
Pb1 0.000 0.500 0.500 [1 per cell]
Pb2 0.500 0.000 0.500 [1 per cell]
S1 0.246 0.500 0.226 [2 per cell]
S2 0.259 0.000 0.777 [2 per cell]

---

Record 10
## Ac3Tb2DySe6 (PBE)

Data for crystalline Ac3Tb2DySe6 at its relaxed geometry.

* formation energy without anion corrections: -1.81 eV/atom
* size of the total moment: 0.0 μB/cell
* DOS at the Fermi energy: 9.9 states/eV per cell

a = 7.234 Å, b = 12.565 Å, c = 7.692 Å
α = 90.00°, β = 108.37°, γ = 90.00°
Space group C2/m (No. 12)
Unique sites:
Ac1 0.000 0.000 0.000 [2 per cell]
Ac2 0.000 0.333 0.000 [4 per cell]
Tb1 0.000 0.167 0.500 [4 per cell]
Dy1 0.000 0.500 0.500 [2 per cell]
Se1 0.239 0.334 0.720 [8 per cell]
Se2 0.242 0.000 0.721 [4 per cell]

---

Record 11
## Y2Zn5AgRu2 (PBE)

Data for crystalline Y2Zn5AgRu2 at its relaxed geometry.

* E_tot: -4.25 eV/atom
* size of the total moment: 0.0 μB/cell
* DOS at the Fermi energy: 11.4 states/eV per cell

a = 9.494 Å, b = 9.494 Å, c = 4.023 Å
α = 90.00°, β = 90.00°, γ = 90.00°
Space group P4/mbm (No. 127)
Unique sites:
Y1 0.177 0.323 0.000 [4 per cell]
Zn1 0.000 0.500 0.500 [2 per cell]
Zn2 0.060 0.794 0.500 [8 per cell]
Ag1 0.000 0.000 0.000 [2 per cell]
Ru1 0.123 0.623 0.000 [4 per cell]

---

Record 12
## BeReSe3 (PBE)

Data for crystalline BeReSe3 at its relaxed geometry.

* formation energy without anion corrections: 1.00 eV/atom
* excess energy over the best structure of this formula in the dataset: 0.0838 eV/atom
* size of the total moment: 1.6 μB/cell
* DOS at the Fermi energy: 3.9 states/eV per cell

a = 4.455 Å, b = 4.455 Å, c = 4.455 Å
α = 90.00°, β = 90.00°, γ = 90.00°
Space group Pm-3m (No. 221)
Unique sites:
Be1 0.000 0.000 0.000 [1 per cell]
Re1 0.500 0.500 0.500 [1 per cell]
Se1 0.000 0.000 0.500 [3 per cell]